Entry 1:
Density functional theory data (PBE+U) for crystalline Ac2NpCoO6 at its relaxed geometry.

The space group is Pmmn (No. 59, origin choice 2) and the conventional cell measures 5.765, 8.616 and 6.143 Å, with angles of 90.00, 90.00 and 90.00 degrees. Symmetry generates all atoms from Ac at (0.250, 0.028, 0.205), Np at (0.250, 0.250, 0.715), Co at (0.250, 0.750, 0.772), O at (0.001, 0.250, 0.988), O at (0.009, 0.250, 0.447) and O at (0.250, 0.502, 0.802).

The value obtained for the total energy is -8.215 eV per atom. As for the crystal system: orthorhombic. As for the density of states at the Fermi level: 0.811 states/eV/atom.

---

Entry 2:
Density functional theory data (PBE+U) for crystalline Ac2NpCo3O12 at its relaxed geometry.

The space group is R-3m (No. 166, hexagonal axes) and the conventional cell measures 6.7732, 6.7732 and 15.9799 Å, with angles of 90.00, 90.00 and 120.00 degrees. Symmetry generates all atoms from Ac at (0.0000, 0.0000, 0.1123), Np at (0.0000, 0.0000, 0.5000), Co at (0.0000, 0.5000, 0.0000), O at (0.0322, 0.5161, 0.8821) and O at (0.0660, 0.5330, 0.3066).

The value obtained for the total energy is -7.101 eV per atom. As for the crystal system: trigonal. As for the density of states at the Fermi level: 0.140 states/eV/atom.